No. 1
Here is crystalline Tb8Tm2Pu at its relaxed geometry from Alexandria via LeMat-Bulk. Energies are from PBE.

Calculated values
**Crystal system**: monoclinic
**DFT total energy**: -5.325 eV per atom
**E_form**: 0.16 eV per atom

Cell lengths 6.8921, 10.8250, 6.4760 Å; angles 64.71, 57.85, 90.00 degrees
Each line ends with the local moment (μB).
Atoms (fractional coordinates):
Tb  0.2610  0.2691  0.9756  0.10
Tm  0.1722  0.5840  0.6557  -0.02
Tb  0.6811  0.6228  0.6378  0.01
Tb  0.6823  0.0590  0.6354  0.21
Tb  0.7390  0.7309  0.0244  0.10
Tb  0.3177  0.9410  0.3646  0.21
Tb  0.2366  0.7309  0.0244  0.10
Pu  0.0000  0.0000  0.0000  5.68
Tb  0.3189  0.3772  0.3622  0.01
Tm  0.8278  0.4160  0.3443  -0.02
Tb  0.7634  0.2691  0.9756  0.10

=====

No. 2
Here is crystalline Tb6Tm2Pu at its relaxed geometry from Alexandria via LeMat-Bulk. Energies are from PBE.

Calculated values
**Crystal system**: triclinic
**DFT total energy**: -5.628 eV per atom
**E_form**: 0.04 eV per atom

Cell lengths 6.6761, 6.1857, 18.7483 Å; angles 89.94, 120.66, 117.56 degrees
Each line ends with the local moment (μB).
Atoms (fractional coordinates):
Tb  0.2763  0.4715  0.0267  0.00
Tb  0.1655  0.7544  0.4132  -0.10
Tb  0.1591  0.9088  0.9125  -0.04
Tm  0.9428  0.6419  0.1967  -0.11
Tb  0.2790  0.3088  0.5272  -0.11
Pu  0.9458  0.8020  0.6947  -5.61
Tb  0.6066  0.9697  0.8599  -0.06
Tm  0.5003  0.4068  0.7484  -0.14
Tb  0.6110  0.1476  0.3597  -0.10
Tb  0.7210  0.6912  0.4728  -0.11
Tb  0.8345  0.2456  0.5868  -0.10
Tb  0.3934  0.0303  0.1401  -0.06
Tb  0.8409  0.0912  0.0875  -0.04
Tb  0.7237  0.5285  0.9733  0.00
Tm  0.4997  0.5932  0.2516  -0.14
Tm  0.0572  0.3581  0.8033  -0.11
Tb  0.3890  0.8524  0.6403  -0.10
Pu  0.0542  0.1980  0.3053  -5.61

=====

No. 3
Here is crystalline Tb2Tm8Pu at its relaxed geometry from Alexandria via LeMat-Bulk. Energies are from PBE.

Calculated values
**Crystal system**: monoclinic
**DFT total energy**: -5.274 eV per atom
**E_form**: 0.12 eV per atom

Cell lengths 5.4199, 7.7613, 9.3001 Å; angles 114.60, 106.94, 90.00 degrees
Each line ends with the local moment (μB).
Atoms (fractional coordinates):
Tm  0.3652  0.5786  0.7304  0.15
Tm  0.1667  0.1675  0.3334  0.06
Tm  0.6348  0.4214  0.2696  0.15
Tm  0.6356  0.8502  0.2713  0.16
Tb  0.1983  0.6976  0.3966  -0.04
Tm  0.8333  0.8325  0.6666  0.06
Tm  0.9997  0.2821  0.9993  0.18
Tm  0.3644  0.1498  0.7287  0.16
Tm  0.0003  0.7179  0.0007  0.18
Tb  0.8017  0.3024  0.6034  -0.04
Pu  0.5000  0.0000  0.0000  5.61

=====

No. 4
Here is crystalline Tb5Tm6Pu2 at its relaxed geometry from Alexandria via LeMat-Bulk. Energies are from PBE.

Calculated values
**Crystal system**: orthorhombic
**DFT total energy**: -5.889 eV per atom
**E_form**: 0.16 eV per atom

Cell lengths 3.4982, 11.4537, 20.0680 Å; angles 90.00, 90.00, 90.00 degrees
Each line ends with the local moment (μB).
Atoms (fractional coordinates):
Pu  0.0000  0.3268  0.2940  5.54
Tm  0.0000  0.0632  0.0811  -0.05
Tm  0.0000  0.5819  0.1307  0.02
Tb  0.5000  0.3028  0.4485  0.03
Tm  0.0000  0.4181  0.8693  0.02
Tm  0.0000  0.0819  0.3693  0.02
Tb  0.5000  0.6972  0.5515  0.03
Tb  0.5000  0.0000  0.5000  -0.04
Pu  0.0000  0.6732  0.7060  5.54
Tb  0.5000  0.5000  0.0000  -0.04
Tm  0.5000  0.1739  0.6422  0.10
Tm  0.5000  0.3261  0.1422  0.10
Tb  0.5000  0.1972  0.9485  0.03
Tm  0.0000  0.5632  0.4189  -0.05
Tm  0.5000  0.8261  0.3578  0.10
Tm  0.0000  0.9181  0.6307  0.02
Tm  0.0000  0.4368  0.5811  -0.05
Pu  0.0000  0.1732  0.7940  5.54
Tb  0.5000  0.0765  0.2283  0.12
Pu  0.0000  0.8268  0.2060  5.54
Tm  0.5000  0.6739  0.8578  0.10
Tb  0.5000  0.8028  0.0515  0.03
Tb  0.5000  0.4235  0.7283  0.12
Tb  0.5000  0.5765  0.2717  0.12
Tm  0.0000  0.9368  0.9189  -0.05
Tb  0.5000  0.9235  0.7717  0.12

=====

No. 5
Here is crystalline Tb7Tm12Pu at its relaxed geometry from Alexandria via LeMat-Bulk. Energies are from PBE.

Calculated values
**Crystal system**: triclinic
**DFT total energy**: -4.896 eV per atom
**E_form**: 0.12 eV per atom

Cell lengths 9.4843, 8.6783, 8.5448 Å; angles 100.79, 69.81, 78.35 degrees
Each line ends with the local moment (μB).
Atoms (fractional coordinates):
Tm  0.9577  0.1894  0.6272  0.01
Tm  0.3663  0.1708  0.4559  -0.04
Tm  0.6337  0.8292  0.5441  -0.04
Tm  0.2509  0.8907  0.6482  0.15
Tb  0.5000  0.5000  0.5000  -0.03
Tm  0.9244  0.4282  0.3462  0.02
Tb  0.8678  0.6895  0.0962  0.05
Tm  0.6850  0.5633  0.7861  0.03
Pu  0.0000  0.0000  0.0000  5.67
Tm  0.0756  0.5718  0.6538  0.02
Tm  0.7491  0.1093  0.3518  0.15
Tb  0.7303  0.9528  0.8878  0.14
Tm  0.3150  0.4367  0.2139  0.03
Tb  0.2697  0.0472  0.1122  0.14
Tb  0.4726  0.7519  0.2279  -0.04
Tb  0.5274  0.2481  0.7721  -0.04
Tb  0.1322  0.3105  0.9038  0.05
Tm  0.2778  0.6520  0.9291  0.07
Tm  0.0423  0.8106  0.3728  0.01
Tm  0.7222  0.3480  0.0709  0.07

=====

No. 6
Here is crystalline Tb5Tm12Pu at its relaxed geometry from Alexandria via LeMat-Bulk. Energies are from PBE.

Calculated values
**Crystal system**: monoclinic
**DFT total energy**: -5.053 eV per atom
**E_form**: 0.01 eV per atom

Cell lengths 6.1154, 6.1151, 16.9868 Å; angles 86.56, 83.10, 60.00 degrees
Each line ends with the local moment (μB).
Atoms (fractional coordinates):
Tm  0.2223  0.3332  0.3309  -0.05
Tb  0.1669  0.6662  0.5000  0.02
Tb  0.3333  0.3334  0.0000  0.10
Tm  0.9441  0.3288  0.1659  0.00
Tb  0.5000  0.0000  0.5000  0.02
Pu  0.0000  0.0000  0.0000  5.57
Tm  0.8889  0.0000  0.3315  -0.09
Tm  0.3847  0.0000  0.8341  0.00
Tm  0.2729  0.6712  0.1659  0.00
Tm  0.4444  0.3332  0.6691  -0.05
Tm  0.0559  0.6712  0.8341  0.00
Tb  0.8331  0.3338  0.5000  0.02
Tm  0.7271  0.3288  0.8341  0.00
Tm  0.7777  0.6668  0.6691  -0.05
Tm  0.6153  0.0000  0.1659  0.00
Tm  0.1111  0.0000  0.6685  -0.09
Tb  0.6667  0.6666  0.0000  0.10
Tm  0.5556  0.6668  0.3309  -0.05

=====

No. 7
Here is crystalline Tb6Tm12Pu at its relaxed geometry from Alexandria via LeMat-Bulk. Energies are from PBE.

Calculated values
**Crystal system**: trigonal
**DFT total energy**: -4.880 eV per atom
**E_form**: 0.16 eV per atom

Cell lengths 8.4000, 8.4000, 8.4000 Å; angles 91.65, 91.65, 91.65 degrees
Each line ends with the local moment (μB).
Atoms (fractional coordinates):
Tb  0.2704  0.1199  0.7407  -0.01
Tm  0.2084  0.4751  0.5349  0.10
Tb  0.2593  0.7296  0.8801  -0.01
Tb  0.8801  0.2593  0.7296  -0.01
Tb  0.1199  0.7407  0.2704  -0.01
Tm  0.6282  0.9463  0.8520  -0.05
Tm  0.3718  0.0537  0.1480  -0.05
Tm  0.9463  0.8520  0.6282  -0.05
Tm  0.4751  0.5349  0.2084  0.10
Tb  0.7296  0.8801  0.2593  -0.01
Tm  0.1480  0.3718  0.0537  -0.05
Tm  0.5249  0.4651  0.7916  0.10
Tm  0.5349  0.2084  0.4751  0.10
Tm  0.4651  0.7916  0.5249  0.10
Tm  0.7916  0.5249  0.4651  0.10
Tb  0.7407  0.2704  0.1199  -0.01
Tm  0.0537  0.1480  0.3718  -0.05
Tm  0.8520  0.6282  0.9463  -0.05
Pu  0.0000  0.0000  0.0000  -5.55

=====

No. 8
Here is crystalline Tb12Tm3Pu at its relaxed geometry from Alexandria via LeMat-Bulk. Energies are from PBE.

Calculated values
**Crystal system**: tetragonal
**DFT total energy**: -5.166 eV per atom
**E_form**: 0.04 eV per atom

Cell lengths 5.0001, 5.0001, 20.0007 Å; angles 90.00, 90.00, 90.00 degrees
Each line ends with the local moment (μB).
Atoms (fractional coordinates):
Pu  0.0000  0.0000  0.0000  5.55
Tb  0.0000  0.5000  0.6258  0.02
Tb  0.5000  0.0000  0.1227  0.05
Tb  0.5000  0.5000  0.7501  -0.04
Tm  0.0000  0.0000  0.5000  -0.04
Tb  0.5000  0.5000  0.0000  0.17
Tb  0.0000  0.5000  0.1227  0.05
Tb  0.5000  0.5000  0.2499  -0.04
Tb  0.0000  0.5000  0.8773  0.05
Tb  0.5000  0.0000  0.8773  0.05
Tm  0.0000  0.0000  0.7511  -0.07
Tb  0.5000  0.0000  0.3742  0.02
Tm  0.0000  0.0000  0.2489  -0.07
Tb  0.5000  0.5000  0.5000  -0.04
Tb  0.5000  0.0000  0.6258  0.02
Tb  0.0000  0.5000  0.3742  0.02

=====

No. 9
Here is crystalline Tb5Tm12Pu3 at its relaxed geometry from Alexandria via LeMat-Bulk. Energies are from PBE.

Calculated values
**Crystal system**: cubic
**DFT total energy**: -4.907 eV per atom
**E_form**: 1.08 eV per atom

Cell lengths 15.9545, 15.9545, 15.9545 Å; angles 109.47, 109.47, 109.47 degrees
Each line ends with the local moment (μB).
Atoms (fractional coordinates):
Tm  0.3485  0.5800  0.4398  0.26
Pu  0.6250  0.3750  0.7500  5.83
Tm  0.7685  0.4200  0.3598  0.26
Tb  0.8750  0.6250  0.7500  -0.19
Pu  0.2500  0.6250  0.8750  5.83
Tm  0.2685  0.4087  0.8485  0.26
Tb  0.6250  0.7500  0.8750  -0.19
Tm  0.2315  0.5800  0.6402  0.26
Tb  0.5000  0.5000  0.5000  -0.32
Tm  0.9087  0.0602  0.6402  0.26
Tm  0.4200  0.7685  0.8598  0.26
Tb  0.5000  0.5000  0.0000  -0.32
Pu  0.6250  0.2500  0.3750  5.83
Tm  0.5913  0.8598  0.4398  0.26
Tb  0.5000  0.0000  0.0000  -0.32
Tm  0.3485  0.7685  0.4087  0.26
Tm  0.5913  0.7315  0.6515  0.26
Tm  0.7315  0.5913  0.1515  0.26
Pu  0.3750  0.7500  0.6250  5.83
Pu  0.3750  0.6250  0.2500  5.83
Tm  0.1402  0.4087  0.0602  0.26
Tm  0.1515  0.0602  0.9200  0.26
Tm  0.7315  0.1402  0.0800  0.26
Pu  0.1250  0.8750  0.7500  5.83
Tm  0.0602  0.9087  0.1402  0.26
Tm  0.7685  0.3485  0.9087  0.26
Tm  0.4398  0.3598  0.5913  0.26
Pu  0.8750  0.7500  0.1250  5.83
Tb  0.2500  0.8750  0.1250  -0.19
Tm  0.8598  0.5913  0.9398  0.26
Pu  0.8750  0.1250  0.2500  5.83
Tm  0.8485  0.9087  0.2685  0.26
Tb  0.1250  0.3750  0.2500  -0.19
Tm  0.6402  0.0800  0.2315  0.26
Tm  0.0800  0.6402  0.7315  0.26
Tb  0.1250  0.7500  0.3750  -0.19
Tm  0.0913  0.9398  0.3598  0.26
Tm  0.1402  0.7315  0.5800  0.26
Tm  0.6515  0.2315  0.5913  0.26
Tm  0.2685  0.8598  0.9200  0.26
Tb  0.3750  0.2500  0.1250  -0.19
Tm  0.1515  0.0913  0.7315  0.26
Tm  0.5602  0.6402  0.4087  0.26
Tm  0.9200  0.3598  0.2685  0.26
Tb  0.0000  0.0000  0.0000  -0.32
Tb  0.6250  0.8750  0.2500  -0.19
Tm  0.9087  0.8485  0.7685  0.26
Tm  0.5800  0.2315  0.1402  0.26
Tm  0.5800  0.3485  0.9398  0.26
Tm  0.6515  0.4200  0.5602  0.26
Tb  0.2500  0.3750  0.6250  -0.19
Tm  0.5602  0.9200  0.6515  0.26
Tm  0.8485  0.9398  0.0800  0.26
Tm  0.2315  0.6515  0.0913  0.26
Tb  0.7500  0.1250  0.8750  -0.19
Tb  0.0000  0.5000  0.5000  -0.32
Tb  0.0000  0.5000  0.0000  -0.32
Tm  0.9398  0.8485  0.5800  0.26
Tm  0.0800  0.4398  0.8485  0.26
Pu  0.7500  0.8750  0.6250  5.83
Tm  0.9398  0.0913  0.8598  0.26
Tm  0.8598  0.2685  0.4200  0.26
Pu  0.7500  0.3750  0.1250  5.83
Pu  0.1250  0.2500  0.8750  5.83
Tm  0.6402  0.5602  0.9087  0.26
Tm  0.4398  0.0800  0.3485  0.26
Tb  0.7500  0.6250  0.3750  -0.19
Tm  0.4200  0.6515  0.0602  0.26
Tm  0.4087  0.1402  0.5602  0.26
Tm  0.3598  0.9200  0.7685  0.26
Tm  0.0602  0.1515  0.4200  0.26
Tb  0.5000  0.0000  0.5000  -0.32
Tb  0.0000  0.0000  0.5000  -0.32
Tm  0.3598  0.4398  0.0913  0.26
Tm  0.4087  0.2685  0.3485  0.26
Tb  0.3750  0.1250  0.7500  -0.19
Pu  0.2500  0.1250  0.3750  5.83
Tm  0.0913  0.1515  0.2315  0.26
Tm  0.9200  0.5602  0.1515  0.26
Tb  0.8750  0.2500  0.6250  -0.19

=====

No. 10
Here is crystalline Tb3Tm7Pu at its relaxed geometry from Alexandria via LeMat-Bulk. Energies are from PBE.

Calculated values
**Crystal system**: trigonal
**DFT total energy**: -5.203 eV per atom
**E_form**: 0.21 eV per atom

Cell lengths 8.4615, 6.9264, 6.9264 Å; angles 120.00, 90.00, 90.00 degrees
Each line ends with the local moment (μB).
Atoms (fractional coordinates):
Tm  0.1171  0.6667  0.3333  0.06
Tm  0.4467  0.8326  0.6652  -0.13
Tb  0.7803  0.0034  0.5017  0.03
Tb  0.7803  0.4983  0.5017  0.03
Tm  0.4467  0.3348  0.1674  -0.13
Tm  0.4467  0.8326  0.1674  -0.13
Tb  0.7803  0.4983  0.9966  0.03
Tm  0.1222  0.1688  0.8312  -0.06
Pu  0.4503  0.3333  0.6667  -5.53
Tm  0.1222  0.1688  0.3377  -0.06
Tm  0.1222  0.6623  0.8312  -0.06

=====

No. 11
Here is crystalline Tb6Tm5Pu at its relaxed geometry from Alexandria via LeMat-Bulk. Energies are from PBE.

Calculated values
**Crystal system**: monoclinic
**DFT total energy**: -5.330 eV per atom
**E_form**: 0.04 eV per atom

Cell lengths 6.0941, 6.0951, 11.6003 Å; angles 84.96, 79.89, 60.01 degrees
Each line ends with the local moment (μB).
Atoms (fractional coordinates):
Tb  0.4128  0.6699  0.7514  0.05
Pu  0.0000  0.0000  0.0000  5.60
Tb  0.9173  0.6699  0.2486  0.05
Tm  0.6666  0.6669  0.0000  0.18
Tm  0.3334  0.3331  0.0000  0.18
Tm  0.8328  0.3344  0.5000  -0.05
Tm  0.1672  0.6656  0.5000  -0.05
Tm  0.5000  0.0000  0.5000  -0.05
Tb  0.2473  0.0000  0.2485  0.05
Tb  0.5872  0.3301  0.2486  0.05
Tb  0.7527  0.0000  0.7515  0.05
Tb  0.0827  0.3301  0.7514  0.05

=====

No. 12
Here is crystalline Tb2TmPu at its relaxed geometry from Alexandria via LeMat-Bulk. Energies are from PBE.

Calculated values
**Crystal system**: trigonal
**DFT total energy**: -6.921 eV per atom
**E_form**: 0.09 eV per atom

Cell lengths 3.5326, 3.5326, 11.4898 Å; angles 81.16, 81.16, 59.98 degrees
Each line ends with the local moment (μB).
Atoms (fractional coordinates):
Tm  0.5003  0.5003  0.4989  0.18
Pu  0.6664  0.6664  0.0010  -5.58
Tb  0.0829  0.0829  0.7512  -0.01
Tb  0.2504  0.2504  0.2488  -0.05